No. 1
Computed, not measured: an optimized crystal structure of Rb2AsSF5 at the PBE level of DFT.

Cell and atoms, written as CIF:
```
data_Rb2AsSF5
_space_group_name_H-M_alt 'I 4 m m'
_space_group_IT_number 107
_space_group_name_Hall 'I 4 -2'
_cell_length_a 6.6333
_cell_length_b 6.6333
_cell_length_c 8.8029
_cell_angle_alpha 90.00
_cell_angle_beta 90.00
_cell_angle_gamma 90.00
loop_
_atom_site_label
_atom_site_type_symbol
_atom_site_fract_x
_atom_site_fract_y
_atom_site_fract_z
_atom_site_occupancy
Rb1 Rb 0.0000 0.5000 0.0000 1
As1 As 0.0000 0.0000 0.2522 1
S1 S 0.0000 0.0000 0.4965 1
F1 F 0.0000 0.0000 0.0442 1
F2 F 0.1965 0.1965 0.2285 1
```

Uncorrected formation energy, eV/atom: -2.130
Total moment, μB/atom: 0.000

No. 2
Computed, not measured: an optimized crystal structure of Rb2SbAsF6 at the PBE level of DFT.

Cell and atoms, written as CIF:
```
data_Rb2SbAsF6
_space_group_name_H-M_alt 'I 4/m m m'
_space_group_IT_number 139
_space_group_name_Hall '-I 4 2'
_cell_length_a 6.1773
_cell_length_b 6.1773
_cell_length_c 11.6173
_cell_angle_alpha 90.00
_cell_angle_beta 90.00
_cell_angle_gamma 90.00
loop_
_atom_site_label
_atom_site_type_symbol
_atom_site_fract_x
_atom_site_fract_y
_atom_site_fract_z
_atom_site_occupancy
Rb1 Rb 0.0000 0.5000 0.2500 1
Sb1 Sb 0.0000 0.0000 0.0000 1
As1 As 0.0000 0.0000 0.5000 1
F1 F 0.0000 0.0000 0.1867 1
F2 F 0.2491 0.2491 0.5000 1
```

Uncorrected formation energy, eV/atom: -2.095
Total moment, μB/atom: 0.000

No. 3
Computed, not measured: an optimized crystal structure of Rb2SnAsF6 at the PBE level of DFT.

Cell and atoms, written as CIF:
```
data_Rb2SnAsF6
_space_group_name_H-M_alt 'I 4/m m m'
_space_group_IT_number 139
_space_group_name_Hall '-I 4 2'
_cell_length_a 6.3026
_cell_length_b 6.3026
_cell_length_c 10.7094
_cell_angle_alpha 90.00
_cell_angle_beta 90.00
_cell_angle_gamma 90.00
loop_
_atom_site_label
_atom_site_type_symbol
_atom_site_fract_x
_atom_site_fract_y
_atom_site_fract_z
_atom_site_occupancy
Rb1 Rb 0.0000 0.5000 0.2500 1
Sn1 Sn 0.0000 0.0000 0.0000 1
As1 As 0.0000 0.0000 0.5000 1
F1 F 0.0000 0.0000 0.2141 1
F2 F 0.2322 0.2322 0.5000 1
```

Uncorrected formation energy, eV/atom: -2.204
Total moment, μB/atom: 0.100